No. 1
This record from OQMD via LeMat-Bulk describes MgZnCu4Sn2 after structural relaxation. The functional is PBE.

Geometry as POSCAR:
```
MgZnCu4Sn2
1.0
4.480 0.000 0.000
0.000 4.480 0.000
0.000 0.000 6.398
Mg Zn Cu Sn
1 1 4 2
Direct
0.000 0.000 0.000 Mg
0.500 0.500 0.500 Zn
0.000 0.500 0.261 Cu
0.000 0.500 0.739 Cu
0.500 0.000 0.261 Cu
0.500 0.000 0.739 Cu
0.000 0.000 0.500 Sn
0.500 0.500 0.000 Sn
```

Output
- Final energy: -3.177 eV/atom

=====

No. 2
This record from OQMD via LeMat-Bulk describes MgZrCuSn after structural relaxation. The functional is PBE.

Geometry as POSCAR:
```
MgZrCuSn
1.0
0.000 3.395 3.395
3.395 0.000 3.395
3.395 3.395 0.000
Mg Zr Cu Sn
1 1 1 1
Direct
0.000 0.000 0.000 Mg
0.250 0.250 0.250 Zr
0.750 0.750 0.750 Cu
0.500 0.500 0.500 Sn
```

Output
- Final energy: -4.374 eV/atom

=====

No. 3
This record from OQMD via LeMat-Bulk describes MgZrCuSn after structural relaxation. The functional is PBE.

Geometry as POSCAR:
```
MgZrCuSn
1.0
0.000 3.377 3.377
3.377 0.000 3.377
3.377 3.377 0.000
Mg Zr Cu Sn
1 1 1 1
Direct
0.000 0.000 0.000 Mg
0.750 0.750 0.750 Zr
0.500 0.500 0.500 Cu
0.250 0.250 0.250 Sn
```

Output
- Final energy: -4.341 eV/atom

=====

No. 4
This record from OQMD via LeMat-Bulk describes TbTmMg2Cu4 after structural relaxation. The functional is PBE.

Geometry as POSCAR:
```
TbTmMg2Cu4
1.0
4.666 0.000 0.000
0.000 4.666 0.000
0.000 0.000 6.608
Tb Tm Mg Cu
1 1 2 4
Direct
0.000 0.000 0.000 Tb
0.500 0.500 0.500 Tm
0.000 0.000 0.500 Mg
0.500 0.500 0.000 Mg
0.000 0.500 0.255 Cu
0.000 0.500 0.745 Cu
0.500 0.000 0.255 Cu
0.500 0.000 0.745 Cu
```

Output
- Final energy: -3.591 eV/atom

=====

No. 5
This record from OQMD via LeMat-Bulk describes MgTlCuTc after structural relaxation. The functional is PBE.

Geometry as POSCAR:
```
MgTlCuTc
1.0
0.000 3.235 3.235
3.235 0.000 3.235
3.235 3.235 0.000
Mg Tl Cu Tc
1 1 1 1
Direct
0.000 0.000 0.000 Mg
0.500 0.500 0.500 Tl
0.750 0.750 0.750 Cu
0.250 0.250 0.250 Tc
```

Output
- Final energy: -4.046 eV/atom

=====

No. 6
This record from OQMD via LeMat-Bulk describes MgZnCuTc after structural relaxation. The functional is PBE.

Geometry as POSCAR:
```
MgZnCuTc
1.0
0.000 3.068 3.068
3.068 0.000 3.068
3.068 3.068 0.000
Mg Zn Cu Tc
1 1 1 1
Direct
0.000 0.000 0.000 Mg
0.500 0.500 0.500 Zn
0.750 0.750 0.750 Cu
0.250 0.250 0.250 Tc
```

Output
- Final energy: -3.992 eV/atom

=====

No. 7
This record from OQMD via LeMat-Bulk describes TmMgCuTe3 after structural relaxation. The functional is PBE.

Geometry as POSCAR:
```
TmMgCuTe3
1.0
2.046 -6.939 0.000
2.046 6.939 0.000
0.000 0.000 11.138
Tm Mg Cu Te
2 2 2 6
Direct
0.000 0.000 0.000 Tm
0.000 0.000 0.500 Tm
0.227 0.773 0.750 Mg
0.773 0.227 0.250 Mg
0.476 0.524 0.250 Cu
0.524 0.476 0.750 Cu
0.100 0.900 0.250 Te
0.351 0.649 0.073 Te
0.351 0.649 0.427 Te
0.649 0.351 0.573 Te
0.649 0.351 0.927 Te
0.900 0.100 0.750 Te
```

Output
- Final energy: -3.967 eV/atom

=====

No. 8
This record from OQMD via LeMat-Bulk describes TmMgCuTe3 after structural relaxation. The functional is PBE.

Geometry as POSCAR:
```
TmMgCuTe3
1.0
12.581 0.000 0.000
0.000 4.102 0.000
0.000 0.000 12.095
Tm Mg Cu Te
4 4 4 12
Direct
0.053 0.250 0.189 Tm
0.447 0.750 0.689 Tm
0.553 0.250 0.311 Tm
0.947 0.750 0.811 Tm
0.221 0.250 0.462 Mg
0.279 0.750 0.962 Mg
0.721 0.250 0.038 Mg
0.779 0.750 0.538 Mg
0.244 0.750 0.287 Cu
0.256 0.250 0.787 Cu
0.744 0.750 0.213 Cu
0.756 0.250 0.713 Cu
0.058 0.750 0.374 Te
0.097 0.250 0.927 Te
0.205 0.750 0.659 Te
0.295 0.250 0.159 Te
0.403 0.750 0.427 Te
0.442 0.250 0.874 Te
0.558 0.750 0.126 Te
0.597 0.250 0.573 Te
0.705 0.750 0.841 Te
0.795 0.250 0.341 Te
0.903 0.750 0.073 Te
0.942 0.250 0.626 Te
```

Output
- Final energy: -3.927 eV/atom